P:
Here is crystalline MgHgHRh2 at its relaxed geometry from the Alexandria database. Energies are from PBE.

```
5
Lattice="4.034 0.000 0.000 0.000 4.034 0.000 0.000 0.000 4.086" Properties=species:S:1:pos:R:3 pbc="T T T"
Mg 0.000 0.000 2.043
H 0.000 0.000 0.000
Hg 2.017 2.017 2.043
Rh 2.017 0.000 0.000
Rh 0.000 2.017 0.000
```

Results
Space group: No. 123

---

Q:
Here is crystalline MgHgHRh2 at its relaxed geometry from the Alexandria database. Energies are from PBE.

```
5
Lattice="-1.468 -1.555 3.455 3.393 -2.188 0.457 1.711 3.096 2.121" Properties=species:S:1:pos:R:3 pbc="T T T"
Rh -0.734 -0.778 1.728
Rh 1.697 -1.094 0.228
Hg 0.856 1.548 1.060
Mg 1.818 -0.324 3.016
H 0.000 0.000 0.000
```

Results
Space group: No. 123

---

Short version: P is the most stable of them.

---

P:
Here is crystalline MnHg2H at its relaxed geometry from the Alexandria database. Energies are from PBE.

```
8
Lattice="-1.489 -0.112 6.605 -6.568 -0.696 -1.493 -3.717 -3.384 2.576" Properties=species:S:1:pos:R:3 pbc="T T T"
Hg -9.391 -3.197 6.506
Hg -2.580 -0.995 4.136
Hg -5.322 -1.302 0.986
Hg -6.256 -2.888 3.747
H -7.157 -2.242 1.819
H -4.029 -0.404 2.556
Mn -4.618 -1.950 5.868
Mn 0.000 0.000 0.000
```

Results
Space group: No. 122

---

Q:
Here is crystalline MnHg2H at its relaxed geometry from the Alexandria database. Energies are from PBE.

```
4
Lattice="-0.835 -4.312 -1.398 -1.516 -3.146 3.009 -4.337 -1.539 -0.263" Properties=species:S:1:pos:R:3 pbc="T T T"
Hg -5.016 -6.748 1.012
Hg -1.672 -2.249 0.337
H 0.000 0.000 0.000
Mn -3.344 -4.498 0.675
```

Results
Space group: No. 225

---

Short version: P is the most stable of them.

---

P:
Here is crystalline MnHgH3 at its relaxed geometry from the Alexandria database. Energies are from PBE.

```
5
Lattice="3.898 0.000 0.000 0.000 3.898 0.000 0.000 0.000 3.898" Properties=species:S:1:pos:R:3 pbc="T T T"
H 1.949 0.000 0.000
H 0.000 0.000 1.949
H 0.000 1.949 0.000
Hg 0.000 0.000 0.000
Mn 1.949 1.949 1.949
```

Results
Space group: No. 221

---

Q:
Here is crystalline MnHgH3 at its relaxed geometry from the Alexandria database. Energies are from PBE.

```
5
Lattice="-2.773 -0.373 -2.343 -0.853 -3.206 1.520 -2.214 1.703 2.348" Properties=species:S:1:pos:R:3 pbc="T T T"
H -1.107 0.852 1.174
H -1.386 -0.187 -1.172
H -0.427 -1.603 0.760
Hg -2.920 -0.938 0.763
Mn 0.000 0.000 0.000
```

Results
Space group: No. 221

---

Short version: Q is the most stable of them.

---

P:
Here is crystalline MnHgHPt2 at its relaxed geometry from the Alexandria database. Energies are from PBE.

```
5
Lattice="5.021 0.000 0.000 0.000 5.021 0.000 0.000 0.000 3.062" Properties=species:S:1:pos:R:3 pbc="T T T"
Pt 0.000 2.510 0.000
Pt 2.510 0.000 0.000
Mn 0.000 0.000 0.000
H 0.000 0.000 1.531
Hg 2.510 2.510 1.531
```

Results
Space group: No. 123

---

Q:
Here is crystalline MnHgHPt2 at its relaxed geometry from the Alexandria database. Energies are from PBE.

```
5
Lattice="-2.753 1.093 -2.795 0.453 -3.598 -1.853 -3.042 -1.603 2.369" Properties=species:S:1:pos:R:3 pbc="T T T"
Pt -1.376 0.546 -1.398
Pt 0.227 -1.799 -0.926
Mn -1.521 -0.801 1.185
Hg -2.671 -2.054 -1.139
H 0.000 0.000 0.000
```

Results
Space group: No. 123

---

Short version: Q is the most stable of them.